Below is a relaxed structure of Dy5BSe4, with properties calculated at the PBE level.

Properties
The magnetic moment comes out at 0.000 μB/f.u. Its uncorrected formation energy is -1533 meV/atom.

a b c (Å): 9.050 9.050 5.688
angles (deg): 90.00 90.00 90.00
Space group I4/m (No. 87)
Unique sites:
1 Dy 0.000 0.000 0.000
2 Dy 0.092 0.731 0.500
3 B 0.000 0.000 0.500
4 Se 0.093 0.695 0.000